(1)
TiInAu (GGA-PBE, optimized geometry); formation energy from the elements = -0.2082 eV/atom; total magnetic moment = 0.00 μB per formula unit; SG = C2/m, No. 12
1.0
3.736 -4.170 0.000
3.736 4.170 0.000
-2.856 0.000 3.639
Ti In Au
2 2 2
Direct
0.242 0.242 0.243
0.758 0.758 0.757
0.330 0.670 0.000
0.670 0.330 0.000
0.162 0.838 0.500
0.838 0.162 0.500

(2)
La6GeAu5 (GGA-PBE, optimized geometry); formation energy from the elements = -0.7765 eV/atom; total magnetic moment = 0.00 μB per formula unit; SG = C2/m, No. 12
1.0
4.628 -8.041 0.000
4.628 8.041 0.000
-3.045 0.000 4.355
La Ge Au
6 1 5
Direct
0.083 0.412 0.747
0.245 0.245 0.245
0.412 0.083 0.747
0.588 0.917 0.253
0.755 0.755 0.755
0.917 0.588 0.253
0.000 0.000 0.500
0.174 0.826 0.000
0.333 0.667 0.500
0.500 0.500 0.000
0.667 0.333 0.500
0.826 0.174 0.000

(3)
InFePt4 (GGA-PBE, optimized geometry); formation energy from the elements = 0.0396 eV/atom; total magnetic moment = 3.94 μB per formula unit; SG = F-43m, No. 216
1.0
0.000 3.747 3.747
3.747 0.000 3.747
3.747 3.747 0.000
In Fe Pt
1 1 4
Direct
0.000 0.000 0.000
0.250 0.250 0.250
0.126 0.625 0.625
0.625 0.126 0.625
0.625 0.625 0.126
0.625 0.625 0.625

(4)
K2CrRe2 (GGA-PBE, optimized geometry); formation energy from the elements = 1.1484 eV/atom; total magnetic moment = 0.00 μB per formula unit; SG = P4/mbm, No. 127
1.0
6.090 0.000 0.000
0.000 6.090 0.000
0.000 0.000 6.164
K Cr Re
4 2 4
Direct
0.180 0.320 0.000
0.320 0.820 0.000
0.680 0.180 0.000
0.820 0.680 0.000
0.000 0.000 0.500
0.500 0.500 0.500
0.141 0.641 0.500
0.359 0.141 0.500
0.641 0.859 0.500
0.859 0.359 0.500

(5)
YSi2Ag (GGA-PBE, optimized geometry); E_form (uncorrected) = -23.2 kJ per mole of atoms; total magnetic moment = 0.00 μB per formula unit; SG = P4/mmm, No. 123
1.0
4.319 0.000 0.000
0.000 4.319 0.000
0.000 0.000 4.031
Y Si Ag
1 2 1
Direct
0.000 0.000 0.000
0.000 0.500 0.500
0.500 0.000 0.500
0.500 0.500 0.000

(6)
LaPmSbN (GGA-PBE, optimized geometry); E_form (uncorrected) = -124.2 kJ per mole of atoms; total magnetic moment = 0.00 μB per formula unit; SG = P4/nmm, No. 129
1.0
4.735 0.000 0.000
0.000 4.735 0.000
0.000 0.000 9.289
La Pm Sb N
2 2 2 2
Direct
0.250 0.750 0.000
0.750 0.250 0.000
0.250 0.250 0.333
0.750 0.750 0.667
0.250 0.250 0.694
0.750 0.750 0.306
0.250 0.250 0.091
0.750 0.750 0.909